# NdCoAs2O8 GGA+U optimized geometry
# Uncorrected energy = -6.425 eV per atom
data_NdCoAs2O8
_cell_length_a 7.194
_cell_length_b 7.194
_cell_length_c 6.208
_cell_angle_alpha 90.00
_cell_angle_beta 90.00
_cell_angle_gamma 90.00
_space_group_name_H-M_alt 'I -4 m 2'
_space_group_IT_number 119
_space_group_name_Hall 'I -4 -2'
loop_
_atom_site_label
_atom_site_type_symbol
_atom_site_fract_x
_atom_site_fract_y
_atom_site_fract_z
_atom_site_occupancy
Nd1 Nd 0.000 0.000 0.000 1
Co1 Co 0.000 0.500 0.250 1
As1 As 0.000 0.000 0.500 1
As2 As 0.000 0.500 0.750 1
O1 O 0.000 0.187 0.325 1
O2 O 0.000 0.329 0.944 1